# Os2RuBr

A geometry-optimized Os2RuBr structure (PBE-GGA, Alexandria).

Properties
magnetic moment	0.00	μB per formula unit
energy relative to the elements, uncorrected	4.29	eV/f.u.

```
data_Os2RuBr
_symmetry_space_group_name_H-M 'P m m m'
_symmetry_Int_Tables_number 47
_cell_length_a 2.8068
_cell_length_b 3.6231
_cell_length_c 6.5948
_cell_angle_alpha 90.00
_cell_angle_beta 90.00
_cell_angle_gamma 90.00
loop_
_symmetry_equiv_pos_as_xyz
'x,y,z'
'-x,-y,-z'
'-x,-y,z'
'x,y,-z'
'x,-y,-z'
'-x,y,z'
'-x,y,-z'
'x,-y,z'
loop_
_atom_site_label
_atom_site_type_symbol
_atom_site_fract_x
_atom_site_fract_y
_atom_site_fract_z
_atom_site_occupancy
Os1 Os 0.0000 0.0000 0.1988 1
Ru1 Ru 0.5000 0.5000 0.0000 1
Br1 Br 0.5000 0.5000 0.5000 1
```

***

# MgNiAuSe

A geometry-optimized MgNiAuSe structure (PBE-GGA, Alexandria).

Properties
magnetic moment	0.00	μB per formula unit
energy relative to the elements, uncorrected	-0.92	eV/f.u.

```
data_MgNiAuSe
_symmetry_space_group_name_H-M 'C 1 m 1'
_symmetry_Int_Tables_number 8
_cell_length_a 6.6615
_cell_length_b 3.8350
_cell_length_c 6.8815
_cell_angle_alpha 90.00
_cell_angle_beta 107.85
_cell_angle_gamma 90.00
loop_
_symmetry_equiv_pos_as_xyz
'x,y,z'
'x,-y,z'
'x+1/2,y+1/2,z'
'x+1/2,-y+1/2,z'
loop_
_atom_site_label
_atom_site_type_symbol
_atom_site_fract_x
_atom_site_fract_y
_atom_site_fract_z
_atom_site_occupancy
Mg1 Mg 0.0000 0.0000 0.0000 1
Ni1 Ni 0.0521 0.5000 0.6655 1
Au1 Au 0.4070 0.0000 0.2342 1
Se1 Se 0.3635 0.5000 0.5975 1
```

***

# ScFeRu2C

A geometry-optimized ScFeRu2C structure (PBE-GGA, Alexandria).

Properties
magnetic moment	0.92	μB per formula unit
formation energy	-0.244	eV/atom

```
data_ScFeRu2C
_symmetry_space_group_name_H-M 'P 4/m m m'
_symmetry_Int_Tables_number 123
_symmetry_space_group_name_Hall '-P 4 2'
_cell_length_a 4.1018
_cell_length_b 4.1018
_cell_length_c 3.8298
_cell_angle_alpha 90.00
_cell_angle_beta 90.00
_cell_angle_gamma 90.00
loop_
_atom_site_label
_atom_site_type_symbol
_atom_site_fract_x
_atom_site_fract_y
_atom_site_fract_z
_atom_site_occupancy
Sc1 Sc 0.0000 0.0000 0.0000 1
Fe1 Fe 0.5000 0.5000 0.0000 1
Ru1 Ru 0.0000 0.5000 0.5000 1
C1 C 0.5000 0.5000 0.5000 1
```

***

# AcPrOs

A geometry-optimized AcPrOs structure (PBE-GGA, Alexandria).

Properties
magnetic moment	0.00	μB per formula unit
formation energy	0.019	eV/atom

```
data_AcPrOs
_symmetry_space_group_name_H-M 'C 1 2/m 1'
_symmetry_Int_Tables_number 12
_cell_length_a 14.2006
_cell_length_b 4.4392
_cell_length_c 6.4730
_cell_angle_alpha 90.00
_cell_angle_beta 103.85
_cell_angle_gamma 90.00
loop_
_symmetry_equiv_pos_as_xyz
'x,y,z'
'-x,-y,-z'
'-x,y,-z'
'x,-y,z'
'x+1/2,y+1/2,z'
'-x+1/2,-y+1/2,-z'
'-x+1/2,y+1/2,-z'
'x+1/2,-y+1/2,z'
loop_
_atom_site_label
_atom_site_type_symbol
_atom_site_fract_x
_atom_site_fract_y
_atom_site_fract_z
_atom_site_occupancy
Ac1 Ac 0.1511 0.0000 0.3220 1
Pr1 Pr 0.1079 0.5000 0.8186 1
Os1 Os 0.2322 0.0000 0.8178 1
```

***

# BaNaSn3

A geometry-optimized BaNaSn3 structure (PBE-GGA, Alexandria).

Properties
magnetic moment	0.00	μB per formula unit
formation energy	-0.361	eV/atom

```
data_BaNaSn3
_symmetry_space_group_name_H-M 'P 1 21/c 1'
_symmetry_Int_Tables_number 14
_cell_length_a 9.9489
_cell_length_b 7.5985
_cell_length_c 8.7293
_cell_angle_alpha 90.00
_cell_angle_beta 93.20
_cell_angle_gamma 90.00
loop_
_symmetry_equiv_pos_as_xyz
'x,y,z'
'-x,-y,-z'
'-x,y+1/2,-z+1/2'
'x,-y+1/2,z+1/2'
loop_
_atom_site_label
_atom_site_type_symbol
_atom_site_fract_x
_atom_site_fract_y
_atom_site_fract_z
_atom_site_occupancy
Ba1 Ba 0.1207 0.1179 0.1878 1
Na1 Na 0.4414 0.6579 0.6601 1
Sn1 Sn 0.1349 0.6430 0.0326 1
Sn2 Sn 0.2565 0.5352 0.3364 1
Sn3 Sn 0.3706 0.0990 0.5338 1
```

***

# Li2YHo2Ge2

A geometry-optimized Li2YHo2Ge2 structure (PBE-GGA, Alexandria).

Properties
magnetic moment	0.00	μB per formula unit
formation energy	-0.483	eV/atom

```
data_Li2YHo2Ge2
_symmetry_space_group_name_H-M 'R -3 m'
_symmetry_Int_Tables_number 166
_symmetry_space_group_name_Hall '-R 3 2"'
_cell_length_a 4.4376
_cell_length_b 4.4376
_cell_length_c 26.8660
_cell_angle_alpha 90.00
_cell_angle_beta 90.00
_cell_angle_gamma 120.00
loop_
_atom_site_label
_atom_site_type_symbol
_atom_site_fract_x
_atom_site_fract_y
_atom_site_fract_z
_atom_site_occupancy
Li1 Li 0.0000 0.0000 0.1015 1
Y1 Y 0.0000 0.0000 0.5000 1
Ho1 Ho 0.0000 0.0000 0.3736 1
Ge1 Ge 0.0000 0.0000 0.2357 1
```